Computed, not measured: a relaxed Mg2ScRh crystal at the GGA-PBEsol level of DFT.

Formation energy   -334 meV per atom
VASP energy   -19.52 eV for the cell shown

Cell and atoms, written as POSCAR:
```
Mg2ScRh
1.0
4.649 0.000 0.000
2.325 4.026 0.000
2.325 1.342 3.796
Sc Mg Rh
1 2 1
Cartesian
2.325 1.342 0.949 Sc
0.000 0.000 0.000 Mg
6.974 4.026 2.847 Mg
4.649 2.684 1.898 Rh
```

Computed, not measured: a relaxed TmZrCo2 crystal at the GGA-PBEsol level of DFT.

Formation energy   -251 meV per atom
VASP energy   -30.47 eV for the cell shown

Cell and atoms, written as POSCAR:
```
TmZrCo2
1.0
4.494 0.000 0.000
2.247 3.892 0.000
2.247 1.297 3.669
Zr Co Tm
1 2 1
Cartesian
0.000 0.000 0.000 Zr
2.247 1.297 0.917 Co
6.740 3.892 2.752 Co
4.494 2.594 1.835 Tm
```

Computed, not measured: a relaxed Y5Cr crystal at the GGA-PBEsol level of DFT.

Formation energy   623 meV per atom
VASP energy   -40.61 eV for the cell shown

Cell and atoms, written as POSCAR:
```
Y5Cr
1.0
6.321 0.000 0.000
3.160 5.474 0.000
3.160 1.825 5.161
Y Cr
5 1
Cartesian
6.321 5.472 1.936 Y
9.481 5.474 3.871 Y
7.899 2.738 1.936 Y
6.321 3.649 4.514 Y
4.742 2.738 1.936 Y
0.000 0.000 0.000 Cr
```